(1)
# BaBePd2Pt, optimized geometry, DFT GGA-PBE
# Magnetic moment ... 0.000 μB per cell
# Formation enthalpy at 0 K ... -45.0 kJ per mole of atoms
data_BaBePd2Pt
_chemical_formula_sum 'Ba1 Be1 Pd2 Pt1'
_space_group_name_H-M_alt 'P 4/m m m'
_space_group_IT_number 123
_space_group_name_Hall '-P 4 2'
_cell_length_a 4.579
_cell_length_b 4.579
_cell_length_c 4.505
_cell_angle_alpha 90.00
_cell_angle_beta 90.00
_cell_angle_gamma 90.00
loop_
_atom_site_label
_atom_site_fract_x
_atom_site_fract_y
_atom_site_fract_z
Ba1 0.000 0.000 0.000
Be1 0.500 0.500 0.500
Pd1 0.000 0.500 0.500
Pt1 0.500 0.500 0.000

***

(2)
# Ni5Ir2, optimized geometry, DFT GGA-PBE
# Magnetic moment ... 12.981 μB per cell
# Formation enthalpy at 0 K ... 13.7 kJ per mole of atoms
data_Ni5Ir2
_chemical_formula_sum 'Ni20 Ir8'
_space_group_name_H-M_alt 'C 1 2/c 1'
_space_group_IT_number 15
_cell_length_a 10.601
_cell_length_b 6.945
_cell_length_c 4.943
_cell_angle_alpha 90.00
_cell_angle_beta 107.71
_cell_angle_gamma 90.00
loop_
_space_group_symop_operation_xyz
'x,y,z'
'-x,-y,-z'
'-x,y,-z+1/2'
'x,-y,z+1/2'
'x+1/2,y+1/2,z'
'-x+1/2,-y+1/2,-z'
'-x+1/2,y+1/2,-z+1/2'
'x+1/2,-y+1/2,z+1/2'
loop_
_atom_site_label
_atom_site_fract_x
_atom_site_fract_y
_atom_site_fract_z
Ni1 0.000 0.049 0.250
Ni2 0.099 0.359 0.453
Ni3 0.214 0.029 0.680
Ir1 0.117 0.274 0.953

***

(3)
# LaInRh2, optimized geometry, DFT GGA-PBE
# Magnetic moment ... 0.000 μB per cell
# Formation enthalpy at 0 K ... -50.1 kJ per mole of atoms
data_LaInRh2
_chemical_formula_sum 'La2 In2 Rh4'
_space_group_name_H-M_alt 'I -4 m 2'
_space_group_IT_number 119
_space_group_name_Hall 'I -4 -2'
_cell_length_a 3.998
_cell_length_b 3.998
_cell_length_c 10.021
_cell_angle_alpha 90.00
_cell_angle_beta 90.00
_cell_angle_gamma 90.00
loop_
_atom_site_label
_atom_site_fract_x
_atom_site_fract_y
_atom_site_fract_z
La1 0.000 0.000 0.000
In1 0.000 0.500 0.250
Rh1 0.000 0.000 0.500
Rh2 0.000 0.500 0.750

***

(4)
# Dy6ErTm2, optimized geometry, DFT GGA-PBE
# Magnetic moment ... 0.000 μB per cell
# Formation enthalpy at 0 K ... 1.9 kJ per mole of atoms
data_Dy6ErTm2
_chemical_formula_sum 'Dy6 Er1 Tm2'
_space_group_name_H-M_alt 'P -1'
_space_group_IT_number 2
_cell_length_a 3.521
_cell_length_b 8.610
_cell_length_c 9.302
_cell_angle_alpha 90.02
_cell_angle_beta 100.84
_cell_angle_gamma 90.06
loop_
_space_group_symop_operation_xyz
'x,y,z'
'-x,-y,-z'
loop_
_atom_site_label
_atom_site_fract_x
_atom_site_fract_y
_atom_site_fract_z
Dy1 0.111 0.166 0.221
Dy2 0.222 0.834 0.443
Dy3 0.333 0.500 0.668
Er1 0.000 0.500 0.000
Tm1 0.445 0.167 0.890

***

(5)
# SbIr, optimized geometry, DFT GGA-PBE
# Magnetic moment ... 0.002 μB per cell
# Raw formation energy ... 0.837 eV/atom
data_SbIr
_chemical_formula_sum 'Sb4 Ir4'
_space_group_name_H-M_alt 'P 63/m m c'
_space_group_IT_number 194
_space_group_name_Hall '-P 6c 2c'
_cell_length_a 4.9146
_cell_length_b 4.9146
_cell_length_c 7.8330
_cell_angle_alpha 90.00
_cell_angle_beta 90.00
_cell_angle_gamma 120.00
loop_
_atom_site_label
_atom_site_fract_x
_atom_site_fract_y
_atom_site_fract_z
Sb1 0.0000 0.0000 0.2500
Sb2 0.3333 0.6667 0.2500
Ir1 0.3333 0.6667 0.5771

***

(6)
# CsIrW2, optimized geometry, DFT GGA-PBE
# Magnetic moment ... 0.000 μB per cell
# Formation enthalpy at 0 K ... 176.1 kJ per mole of atoms
data_CsIrW2
_chemical_formula_sum 'Cs4 Ir4 W8'
_space_group_name_H-M_alt 'F m -3 m'
_space_group_IT_number 225
_space_group_name_Hall '-F 4 2 3'
_cell_length_a 6.609
_cell_length_b 6.609
_cell_length_c 6.609
_cell_angle_alpha 90.00
_cell_angle_beta 90.00
_cell_angle_gamma 90.00
loop_
_atom_site_label
_atom_site_fract_x
_atom_site_fract_y
_atom_site_fract_z
Cs1 0.000 0.000 0.000
Ir1 0.000 0.000 0.500
W1 0.250 0.250 0.250